PuMgNiIr, optimized geometry, DFT PBE-GGA; M_tot = 4.724 Bohr magnetons per cell; final energy = -7.90 eV per atom
1.0
4.626 0.000 0.000
2.313 4.006 0.000
2.313 1.335 3.777
Ni Mg Ir Pu
1 1 1 1
direct
0.500 0.500 0.500
0.250 0.250 0.250
0.000 0.000 0.000
0.750 0.750 0.750

MgNi2IrRu, optimized geometry, DFT PBE-GGA; M_tot = 1.403 Bohr magnetons per cell; final energy = -5.23 eV per atom
1.0
4.574 0.000 0.000
0.000 4.651 0.000
0.000 0.000 4.574
Ru Mg Ir Ni
1 1 1 2
direct
0.000 0.500 0.000
0.500 0.500 0.500
0.000 0.000 0.000
0.000 0.000 0.500
0.500 0.000 0.000

MgNiIrRu, optimized geometry, DFT PBE-GGA; M_tot = 0.000 Bohr magnetons per cell; final energy = -6.28 eV per atom
1.0
4.304 0.000 0.000
2.152 3.727 0.000
2.152 1.242 3.514
Ru Mg Ir Ni
1 1 1 1
direct
0.250 0.250 0.250
0.750 0.750 0.750
0.500 0.500 0.500
0.000 0.000 0.000

Mg2Si4NiIr3, optimized geometry, DFT PBE-GGA; M_tot = 0.000 Bohr magnetons per cell; uncorrected formation energy = -0.6241 eV per atom
1.0
3.850 0.000 0.000
0.000 3.850 0.000
0.000 0.000 10.459
Mg Si Ni Ir
2 4 1 3
direct
0.500 0.000 0.257
0.000 0.500 0.743
0.500 0.500 0.000
0.000 0.000 0.000
0.500 0.000 0.631
0.000 0.500 0.369
0.500 0.500 0.500
0.000 0.000 0.500
0.500 0.000 0.860
0.000 0.500 0.140

Mg2Si2NiIr5, optimized geometry, DFT PBE-GGA; M_tot = 2.576 Bohr magnetons per cell; uncorrected formation energy = -0.3894 eV per atom
1.0
-2.919 1.448 -0.654
-3.900 -4.572 7.287
2.276 7.167 5.715
Mg Si Ni Ir
4 4 2 10
direct
0.000 0.671 0.171
0.000 0.329 0.829
0.000 0.171 0.329
0.000 0.829 0.671
0.000 0.131 0.631
0.000 0.869 0.369
0.000 0.631 0.869
0.000 0.369 0.131
0.000 0.000 0.000
0.000 0.500 0.500
0.500 0.201 0.071
0.500 0.799 0.929
0.500 0.071 0.799
0.500 0.701 0.429
0.500 0.929 0.201
0.500 0.299 0.571
0.500 0.571 0.701
0.500 0.429 0.299
0.500 0.500 0.000
0.500 0.000 0.500

Mg2Si4Ni3Ir, optimized geometry, DFT PBE-GGA; M_tot = 0.000 Bohr magnetons per cell; uncorrected formation energy = -0.4870 eV per atom
1.0
-0.867 2.080 -3.000
-0.555 -3.123 -2.005
-9.828 -0.053 2.803
Mg Si Ni Ir
2 4 3 1
direct
0.500 0.000 0.245
0.000 0.500 0.755
0.500 0.500 0.000
0.000 0.000 0.000
0.500 0.000 0.641
0.000 0.500 0.359
0.000 0.000 0.500
0.500 0.000 0.862
0.000 0.500 0.138
0.500 0.500 0.500

MgNiSnIr, optimized geometry, DFT PBE-GGA; M_tot = 0.000 Bohr magnetons per cell; final energy = -5.36 eV per atom
1.0
-3.261 2.622 0.199
-1.085 -1.630 3.703
4.208 1.910 -0.295
Mg Ni Sn Ir
1 1 1 1
direct
0.250 0.750 0.500
0.000 0.000 0.000
0.750 0.250 0.500
0.500 0.500 0.000

Mg3Ni2Sn3Ir, optimized geometry, DFT PBE-GGA; M_tot = 0.000 Bohr magnetons per cell; final energy = -4.35 eV per atom
1.0
3.305 0.000 0.000
0.000 7.498 0.000
0.000 -3.749 6.494
Mg Ni Sn Ir
3 2 3 1
direct
0.500 0.721 0.000
0.500 0.000 0.721
0.500 0.279 0.279
0.500 0.667 0.333
0.500 0.333 0.667
0.000 0.619 0.619
0.000 0.000 0.381
0.000 0.381 0.000
0.000 0.000 0.000

ThMg2Ni2Ir, optimized geometry, DFT PBE-GGA; M_tot = 0.000 Bohr magnetons per cell; final energy = -5.07 eV per atom
1.0
-4.738 0.368 -0.876
0.738 -1.383 -4.571
1.384 -4.243 4.062
Th Mg Ni Ir
1 2 2 1
direct
0.500 0.500 0.000
0.250 0.750 0.500
0.750 0.250 0.500
0.759 0.759 0.518
0.241 0.241 0.482
0.000 0.000 0.000

TmMgNiIr, optimized geometry, DFT PBE-GGA; M_tot = 0.000 Bohr magnetons per cell; final energy = -5.68 eV per atom
1.0
-0.656 3.135 -3.276
-2.142 -1.157 -3.882
-4.216 1.580 -0.848
Ni Mg Ir Tm
1 1 1 1
direct
0.000 0.000 0.000
0.750 0.750 0.750
0.500 0.500 0.500
0.250 0.250 0.250

Mg2Zn5Ni2Ir, optimized geometry, DFT PBE-GGA; M_tot = 0.000 Bohr magnetons per cell; final energy = -3.22 eV per atom
1.0
-1.236 2.339 -2.837
-8.197 -2.323 1.656
-0.701 6.523 5.682
Mg Zn Ni Ir
4 10 4 2
direct
0.000 0.677 0.177
0.000 0.323 0.823
0.000 0.177 0.323
0.000 0.823 0.677
0.500 0.202 0.069
0.500 0.798 0.931
0.500 0.069 0.798
0.500 0.702 0.431
0.500 0.931 0.202
0.500 0.298 0.569
0.500 0.569 0.702
0.500 0.431 0.298
0.500 0.500 0.000
0.500 0.000 0.500
0.000 0.117 0.617
0.000 0.883 0.383
0.000 0.617 0.883
0.000 0.383 0.117
0.000 0.000 0.000
0.000 0.500 0.500

Mg2Zn5NiIr2, optimized geometry, DFT PBE-GGA; M_tot = 0.000 Bohr magnetons per cell; final energy = -3.51 eV per atom
1.0
-3.007 -1.432 -1.924
5.397 -6.246 -3.789
-1.714 -5.662 6.892
Mg Zn Ni Ir
4 10 2 4
direct
0.000 0.669 0.169
0.000 0.331 0.831
0.000 0.169 0.331
0.000 0.831 0.669
0.500 0.191 0.069
0.500 0.809 0.931
0.500 0.069 0.809
0.500 0.691 0.431
0.500 0.931 0.191
0.500 0.309 0.569
0.500 0.569 0.691
0.500 0.431 0.309
0.500 0.500 0.000
0.500 0.000 0.500
0.000 0.000 0.000
0.000 0.500 0.500
0.000 0.128 0.628
0.000 0.872 0.372
0.000 0.628 0.872
0.000 0.372 0.128

The records above give, respectively, density values of 12.316 7.424 11.087 8.527 12.599 6.106 10.471 7.621 8.439 10.843 7.788 8.570 g/cm3.